Record 1
Material: CoCuSb2P
Method: DFT, GGA-PBE
State: optimized geometry

```
data_CoCuSb2P
_space_group_name_H-M_alt 'P 4/m m m'
_space_group_IT_number 123
_space_group_name_Hall '-P 4 2'
_cell_length_a 5.261
_cell_length_b 5.261
_cell_length_c 4.073
_cell_angle_alpha 90.00
_cell_angle_beta 90.00
_cell_angle_gamma 90.00
loop_
_atom_site_label
_atom_site_type_symbol
_atom_site_fract_x
_atom_site_fract_y
_atom_site_fract_z
Co1 Co 0.000 0.000 0.000
Cu1 Cu 0.500 0.500 0.000
Sb1 Sb 0.000 0.500 0.500
P1 P 0.000 0.000 0.500
```

- DFT total energy: -4.263 eV per atom
- Total moment: 0.949 μB/cell
- Raw formation energy: 0.7082 eV/atom

Record 2
Material: SrCoCuP
Method: DFT, GGA-PBE
State: optimized geometry

```
data_SrCoCuP
_space_group_name_H-M_alt 'P 4/n m m'
_space_group_IT_number 129
_cell_length_a 3.657
_cell_length_b 3.657
_cell_length_c 11.224
_cell_angle_alpha 90.00
_cell_angle_beta 90.00
_cell_angle_gamma 90.00
loop_
_space_group_symop_operation_xyz
'x,y,z'
'-x,-y,-z'
'-y+1/2,x,z'
'y+1/2,-x,-z'
'-x+1/2,-y+1/2,z'
'x+1/2,y+1/2,-z'
'y,-x+1/2,z'
'-y,x+1/2,-z'
'x+1/2,-y,-z'
'-x+1/2,y,z'
'-y,-x,-z'
'y,x,z'
'-x,y+1/2,-z'
'x,-y+1/2,z'
'y+1/2,x+1/2,-z'
'-y+1/2,-x+1/2,z'
loop_
_atom_site_label
_atom_site_type_symbol
_atom_site_fract_x
_atom_site_fract_y
_atom_site_fract_z
Sr1 Sr 0.250 0.250 0.242
Co1 Co 0.250 0.750 0.500
Cu1 Cu 0.250 0.750 0.000
P1 P 0.250 0.250 0.612
```

- Formation energy from the elements: -0.500 eV/atom
- DFT total energy: -5.073 eV per atom
- Total moment: 0.000 μB/cell

- What is the formula in the second record?
  SrCoCuP